CePmTc2 PBE optimized geometry; total energy = -122.87 eV/cell
1.0
6.939 0.000 0.000
0.000 6.939 0.000
0.000 0.000 6.939
Ce Pm Tc
4 4 8
Direct
0.000 0.000 0.000
0.000 0.500 0.500
0.500 0.000 0.500
0.500 0.500 0.000
0.000 0.000 0.500
0.000 0.500 0.000
0.500 0.000 0.000
0.500 0.500 0.500
0.250 0.250 0.250
0.250 0.250 0.750
0.250 0.750 0.250
0.250 0.750 0.750
0.750 0.250 0.250
0.750 0.250 0.750
0.750 0.750 0.250
0.750 0.750 0.750